Record 1
Below is an optimized crystal structure of Sm3Ni7Au2, with properties calculated at the PBE level.

CIF file:
```
data_Sm3Ni7Au2
_cell_length_a 5.1785
_cell_length_b 5.1785
_cell_length_c 25.2525
_cell_angle_alpha 90.00
_cell_angle_beta 90.00
_cell_angle_gamma 120.00
_space_group_name_H-M_alt 'R -3 m'
_space_group_IT_number 166
_space_group_name_Hall '-R 3 2"'
loop_
_atom_site_label
_atom_site_type_symbol
_atom_site_fract_x
_atom_site_fract_y
_atom_site_fract_z
_atom_site_occupancy
Sm1 Sm 0.0000 0.0000 0.0000 1
Sm2 Sm 0.0000 0.0000 0.1396 1
Ni1 Ni 0.0000 0.0000 0.5000 1
Ni2 Ni 0.0009 0.5005 0.9125 1
Au1 Au 0.0000 0.0000 0.3334 1
```

## Properties
DFT formation energy: -0.396 eV per atom
E: -5.49 eV/atom
D(E_F): 0.821 states/eV/atom
total magnetic moment: 0.000 μB per formula unit

=====

Record 2
Below is an optimized crystal structure of Sm2NiAu, with properties calculated at the PBE level.

CIF file:
```
data_Sm2NiAu
_cell_length_a 3.553
_cell_length_b 3.553
_cell_length_c 7.210
_cell_angle_alpha 90.00
_cell_angle_beta 90.00
_cell_angle_gamma 90.00
_space_group_name_H-M_alt 'P 4/m m m'
_space_group_IT_number 123
_space_group_name_Hall '-P 4 2'
loop_
_atom_site_label
_atom_site_type_symbol
_atom_site_fract_x
_atom_site_fract_y
_atom_site_fract_z
_atom_site_occupancy
Sm1 Sm 0.000 0.000 0.234 1
Ni1 Ni 0.500 0.500 0.000 1
Au1 Au 0.500 0.500 0.500 1
```

## Properties
DFT formation energy: -0.527 eV per atom
E: -5.15 eV/atom
D(E_F): 1.005 states/eV/atom
total magnetic moment: 0.000 μB per formula unit

=====

Record 3
Below is an optimized crystal structure of Sm2NiAu3, with properties calculated at the PBE level.

CIF file:
```
data_Sm2NiAu3
_cell_length_a 3.666
_cell_length_b 4.296
_cell_length_c 8.461
_cell_angle_alpha 90.00
_cell_angle_beta 90.00
_cell_angle_gamma 90.00
_space_group_name_H-M_alt 'P m m 2'
_space_group_IT_number 25
loop_
_space_group_symop_operation_xyz
'x,y,z'
'-x,-y,z'
'-x,y,z'
'x,-y,z'
loop_
_atom_site_label
_atom_site_type_symbol
_atom_site_fract_x
_atom_site_fract_y
_atom_site_fract_z
_atom_site_occupancy
Sm1 Sm 0.000 0.000 0.000 1
Sm2 Sm 0.000 0.500 0.465 1
Ni1 Ni 0.500 0.000 0.324 1
Au1 Au 0.500 0.000 0.625 1
Au2 Au 0.500 0.500 0.160 1
Au3 Au 0.500 0.500 0.831 1
```

## Properties
DFT formation energy: -0.640 eV per atom
E: -4.82 eV/atom
D(E_F): 0.713 states/eV/atom
total magnetic moment: 0.000 μB per formula unit

=====

Record 4
Below is an optimized crystal structure of Sm3NiAu3, with properties calculated at the PBE level.

CIF file:
```
data_Sm3NiAu3
_cell_length_a 3.827
_cell_length_b 4.596
_cell_length_c 18.906
_cell_angle_alpha 90.00
_cell_angle_beta 90.00
_cell_angle_gamma 90.00
_space_group_name_H-M_alt 'I m m 2'
_space_group_IT_number 44
loop_
_space_group_symop_operation_xyz
'x,y,z'
'-x,-y,z'
'-x,y,z'
'x,-y,z'
'x+1/2,y+1/2,z+1/2'
'-x+1/2,-y+1/2,z+1/2'
'-x+1/2,y+1/2,z+1/2'
'x+1/2,-y+1/2,z+1/2'
loop_
_atom_site_label
_atom_site_type_symbol
_atom_site_fract_x
_atom_site_fract_y
_atom_site_fract_z
_atom_site_occupancy
Sm1 Sm 0.000 0.000 0.000 1
Sm2 Sm 0.000 0.000 0.364 1
Sm3 Sm 0.000 0.500 0.192 1
Ni1 Ni 0.000 0.500 0.758 1
Au1 Au 0.000 0.000 0.531 1
Au2 Au 0.000 0.000 0.830 1
Au3 Au 0.000 0.500 0.626 1
```

## Properties
DFT formation energy: -0.701 eV per atom
E: -4.95 eV/atom
D(E_F): 0.641 states/eV/atom
total magnetic moment: 0.000 μB per formula unit

=====

Record 5
Below is an optimized crystal structure of TbSmNiAu, with properties calculated at the PBE level.

CIF file:
```
data_TbSmNiAu
_cell_length_a 4.578
_cell_length_b 3.837
_cell_length_c 10.524
_cell_angle_alpha 90.00
_cell_angle_beta 90.00
_cell_angle_gamma 90.00
_space_group_name_H-M_alt 'A m m 2'
_space_group_IT_number 38
loop_
_space_group_symop_operation_xyz
'x,y,z'
'-x,-y,z'
'-x,y,z'
'x,-y,z'
'x,y+1/2,z+1/2'
'-x,-y+1/2,z+1/2'
'-x,y+1/2,z+1/2'
'x,-y+1/2,z+1/2'
loop_
_atom_site_label
_atom_site_type_symbol
_atom_site_fract_x
_atom_site_fract_y
_atom_site_fract_z
_atom_site_occupancy
Tb1 Tb 0.000 0.000 0.000 1
Sm1 Sm 0.500 0.000 0.280 1
Ni1 Ni 0.500 0.000 0.556 1
Au1 Au 0.000 0.000 0.715 1
```

## Properties
DFT formation energy: -0.599 eV per atom
E: -5.20 eV/atom
D(E_F): 0.621 states/eV/atom
total magnetic moment: 0.000 μB per formula unit

=====

Record 6
Below is an optimized crystal structure of SmThNiAu, with properties calculated at the PBE level.

CIF file:
```
data_SmThNiAu
_cell_length_a 4.300
_cell_length_b 3.870
_cell_length_c 11.585
_cell_angle_alpha 90.00
_cell_angle_beta 90.00
_cell_angle_gamma 90.00
_space_group_name_H-M_alt 'A m m 2'
_space_group_IT_number 38
loop_
_space_group_symop_operation_xyz
'x,y,z'
'-x,-y,z'
'-x,y,z'
'x,-y,z'
'x,y+1/2,z+1/2'
'-x,-y+1/2,z+1/2'
'-x,y+1/2,z+1/2'
'x,-y+1/2,z+1/2'
loop_
_atom_site_label
_atom_site_type_symbol
_atom_site_fract_x
_atom_site_fract_y
_atom_site_fract_z
_atom_site_occupancy
Sm1 Sm 0.000 0.000 0.000 1
Th1 Th 0.500 0.000 0.722 1
Ni1 Ni 0.000 0.000 0.255 1
Au1 Au 0.500 0.000 0.431 1
```

## Properties
DFT formation energy: -0.564 eV per atom
E: -5.86 eV/atom
D(E_F): 0.695 states/eV/atom
total magnetic moment: 0.000 μB per formula unit

=====

Q: The highest DFT formation energy belongs to which entry?
A: Sm3Ni7Au2

=====

Q: Which of these has the lowest D(E_F)?
A: TbSmNiAu

=====

Q: Look up the total magnetic moment of the fifth one.
A: 0.000 μB per formula unit